[1]
Here is LiTmHg after structural relaxation from the Open Quantum Materials Database. Energies are from PBE.

Lattice parameters (Å, degrees): 6.814 6.814 6.814 90.00 90.00 90.00
Space group F-43m (No. 216)
Inequivalent atoms, fractional coordinates:
Li: 0.000 0.000 0.000 [4 per cell]
Tm: 0.000 0.000 0.500 [4 per cell]
Hg: 0.250 0.250 0.250 [4 per cell]

Summary:
polymorph energy (0 for the lowest one)	0	meV/atom

[2]
Here is LiTmHg after structural relaxation from the Open Quantum Materials Database. Energies are from PBE.

Lattice parameters (Å, degrees): 6.849 6.849 6.849 90.00 90.00 90.00
Space group F-43m (No. 216)
Inequivalent atoms, fractional coordinates:
Li: 0.000 0.000 0.000 [4 per cell]
Tm: 0.250 0.250 0.750 [4 per cell]
Hg: 0.000 0.000 0.500 [4 per cell]

Summary:
polymorph energy (0 for the lowest one)	287	meV/atom

[3]
Here is LiUHg after structural relaxation from the Open Quantum Materials Database. Energies are from PBE.

Lattice parameters (Å, degrees): 6.983 6.983 6.983 90.00 90.00 90.00
Space group F-43m (No. 216)
Inequivalent atoms, fractional coordinates:
Li: 0.000 0.000 0.000 [4 per cell]
U: 0.250 0.250 0.750 [4 per cell]
Hg: 0.000 0.000 0.500 [4 per cell]

Summary:
polymorph energy (0 for the lowest one)	309	meV/atom

[4]
Here is LiUHg after structural relaxation from the Open Quantum Materials Database. Energies are from PBE.

Lattice parameters (Å, degrees): 6.912 6.912 6.912 90.00 90.00 90.00
Space group F-43m (No. 216)
Inequivalent atoms, fractional coordinates:
Li: 0.000 0.000 0.000 [4 per cell]
U: 0.000 0.000 0.500 [4 per cell]
Hg: 0.250 0.250 0.250 [4 per cell]

Summary:
polymorph energy (0 for the lowest one)	0	meV/atom

[5]
Here is Li2HgW after structural relaxation from the Open Quantum Materials Database. Energies are from PBE.

Lattice parameters (Å, degrees): 6.417 6.417 6.417 90.00 90.00 90.00
Space group F-43m (No. 216)
Inequivalent atoms, fractional coordinates:
Li: 0.000 0.000 0.000 [4 per cell]
Li: 0.250 0.250 0.250 [4 per cell]
Hg: 0.250 0.250 0.750 [4 per cell]
W: 0.000 0.000 0.500 [4 per cell]

Summary:
DFT total energy	-3.561	eV/atom

[6]
Here is LiHgW2 after structural relaxation from the Open Quantum Materials Database. Energies are from PBE.

Lattice parameters (Å, degrees): 6.408 6.408 6.408 90.00 90.00 90.00
Space group F-43m (No. 216)
Inequivalent atoms, fractional coordinates:
Li: 0.000 0.000 0.000 [4 per cell]
Hg: 0.250 0.250 0.250 [4 per cell]
W: 0.000 0.000 0.500 [4 per cell]
W: 0.250 0.250 0.750 [4 per cell]

Summary:
DFT total energy	-6.387	eV/atom

[7]
Here is Li2YHg2 after structural relaxation from the Open Quantum Materials Database. Energies are from PBE.

Lattice parameters (Å, degrees): 3.977 3.977 13.680 90.00 90.00 90.00
Space group I4/mmm (No. 139)
Inequivalent atoms, fractional coordinates:
Li: 0.000 0.500 0.250 [4 per cell]
Y: 0.000 0.000 0.000 [2 per cell]
Hg: 0.000 0.000 0.389 [4 per cell]

Summary:
DFT total energy	-2.525	eV/atom

[8]
Here is LiYHg2 after structural relaxation from the Open Quantum Materials Database. Energies are from PBE.

Lattice parameters (Å, degrees): 5.0621 5.0621 8.8146 90.00 90.00 120.00
Space group P6_3/mmc (No. 194)
Inequivalent atoms, fractional coordinates:
Li: 0.0000 0.0000 0.2500 [2 per cell]
Y: 0.3333 0.6667 0.2500 [2 per cell]
Hg: 0.3333 0.6667 0.5872 [4 per cell]

Summary:
polymorph energy (0 for the lowest one)	357	meV/atom

[9]
Here is Li2YHg after structural relaxation from the Open Quantum Materials Database. Energies are from PBE.

Lattice parameters (Å, degrees): 3.947 3.947 5.642 90.00 90.00 90.00
Space group P4/mmm (No. 123)
Inequivalent atoms, fractional coordinates:
Li: 0.000 0.000 0.000 [1 per cell]
Li: 0.500 0.500 0.500 [1 per cell]
Y: 0.000 0.000 0.500 [1 per cell]
Hg: 0.500 0.500 0.000 [1 per cell]

Summary:
polymorph energy (0 for the lowest one)	480	meV/atom

[10]
Here is LiYHg2 after structural relaxation from the Open Quantum Materials Database. Energies are from PBE.

Lattice parameters (Å, degrees): 4.7977 4.7977 9.2005 90.00 90.00 120.00
Space group P6_3/mmc (No. 194)
Inequivalent atoms, fractional coordinates:
Li: 0.0000 0.0000 0.0000 [2 per cell]
Y: 0.3333 0.6667 0.2500 [2 per cell]
Hg: 0.3333 0.6667 0.5835 [4 per cell]

Summary:
polymorph energy (0 for the lowest one)	36	meV/atom

[11]
Here is LiYHg2 after structural relaxation from the Open Quantum Materials Database. Energies are from PBE.

Lattice parameters (Å, degrees): 5.026 15.072 7.102 90.00 90.00 90.00
Space group Pnnm (No. 58)
Inequivalent atoms, fractional coordinates:
Li: 0.000 0.000 0.000 [2 per cell]
Li: 0.002 0.333 0.000 [4 per cell]
Y: 0.000 0.000 0.500 [2 per cell]
Y: 0.000 0.333 0.500 [4 per cell]
Hg: 0.000 0.500 0.250 [4 per cell]
Hg: 0.001 0.833 0.250 [8 per cell]

Summary:
polymorph energy (0 for the lowest one)	0	meV/atom

[12]
Here is LiYHg2 after structural relaxation from the Open Quantum Materials Database. Energies are from PBE.

Lattice parameters (Å, degrees): 6.983 6.983 6.983 90.00 90.00 90.00
Space group F-43m (No. 216)
Inequivalent atoms, fractional coordinates:
Li: 0.000 0.000 0.000 [4 per cell]
Y: 0.250 0.250 0.250 [4 per cell]
Hg: 0.000 0.000 0.500 [4 per cell]
Hg: 0.250 0.250 0.750 [4 per cell]

Summary:
polymorph energy (0 for the lowest one)	99	meV/atom